Record 1
{
  "formula": "Li3AgF",
  "functional": "PBE",
  "state": "relaxed",
  "lattice": [[4.094, 0.000, 0.000], [0.000, 4.094, 0.000], [0.000, 0.000, 4.094]],
  "species": ["F", "Li", "Li", "Li", "Ag"],
  "fractional_positions": [[0.000, 0.000, 0.000], [0.000, 0.500, 0.000], [0.000, 0.000, 0.500], [0.500, 0.000, 0.000], [0.500, 0.500, 0.500]],
  "final_energy_ev_per_atom": -3.2411,
  "e_form_raw_ev_per_fu": -5.7,
  "relative_energy_mev_per_atom": 0,
  "crystal_system": "cubic"
}



Record 2
{
  "formula": "Bi4I2Cl5",
  "functional": "PBE",
  "state": "relaxed",
  "lattice": [[-3.727, -4.223, 3.867], [0.488, -7.803, -2.017], [4.631, -2.814, 7.426]],
  "species": ["Cl", "Cl", "Cl", "Cl", "Cl", "Bi", "Bi", "Bi", "Bi", "I", "I"],
  "fractional_positions": [[0.141, 0.242, 0.971], [0.647, 0.242, 0.971], [0.859, 0.758, 0.029], [0.353, 0.758, 0.029], [0.000, 0.500, 0.500], [0.392, 0.919, 0.296], [0.757, 0.675, 0.810], [0.608, 0.081, 0.704], [0.243, 0.325, 0.190], [0.823, 0.998, 0.356], [0.177, 0.002, 0.644]],
  "final_energy_ev_per_atom": -3.0548,
  "e_form_raw_ev_per_fu": -5.7,
  "crystal_system": "monoclinic"
}



Record 3
{
  "formula": "CeDy4YS8",
  "functional": "PBE",
  "state": "relaxed",
  "lattice": [[-5.845, -2.604, -4.979], [-1.223, -7.951, -1.007], [-6.658, -3.494, 3.042]],
  "species": ["S", "S", "S", "S", "S", "S", "S", "S", "Y", "Dy", "Dy", "Dy", "Dy", "Ce"],
  "fractional_positions": [[0.785, 0.239, 0.738], [0.238, 0.238, 0.285], [0.239, 0.239, 0.738], [0.229, 0.757, 0.258], [0.239, 0.785, 0.738], [0.757, 0.229, 0.258], [0.757, 0.757, 0.258], [0.757, 0.757, 0.728], [0.000, 0.000, 0.000], [0.625, 0.625, 0.125], [0.000, 0.000, 0.500], [0.500, 0.000, 0.500], [0.000, 0.500, 0.500], [0.375, 0.375, 0.876]],
  "final_energy_ev_per_atom": -6.4770,
  "e_form_raw_ev_per_fu": -26.9,
  "crystal_system": "trigonal"
}